DFT (PBE) results for a relaxed structure of Ho2Er4Te9.

Output
formation energy from raw total energies	-1.347	eV/atom
theoretical density	6.7	g cm⁻³
electronic total energy	-151.77	eV for the cell shown

Lattice parameters (Å, degrees): 7.6371 7.6371 20.9469 90.00 90.00 120.00
Space group P-3c1 (No. 165)
Unique sites:
Ho (0.0000, 0.0000, 0.1574)
Er (0.3333, 0.6667, 0.1757)
Er (0.3333, 0.6667, 0.4910)
Te (0.0000, 0.3159, 0.2500)
Te (0.0184, 0.3529, 0.5833)